# 1
An optimized crystal structure of CuSi2Br. Source: Alexandria via LeMat-Bulk, functional PBE.

Energy relative to the elements, uncorrected (meV per atom): 327
Energy above the lowest structure with this stoichiometry (meV per atom): 178
Theoretical density (g/cm³): 4.49
Density of states at the Fermi level (states/eV/cell): 1.92
Crystal system: orthorhombic

Cell: 4.756 4.008 4.008 Å, 74.81 90.00 90.00°
Positions (direct):
Si (0.000, 0.934, 0.934)
Si (0.000, 0.566, 0.566)
Br (0.500, 0.250, 0.250)
Cu (0.500, 0.750, 0.750)

---

# 2
An optimized crystal structure of CuSi2Br. Source: Alexandria via LeMat-Bulk, functional PBE.

Energy relative to the elements, uncorrected (meV per atom): 849
Energy above the lowest structure with this stoichiometry (meV per atom): 700
Theoretical density (g/cm³): 4.74
Density of states at the Fermi level (states/eV/cell): 1.57
Crystal system: cubic

Cell: 4.626 4.626 4.626 Å, 60.00 60.00 60.00°
Positions (direct):
Br (0.500, 0.500, 0.500)
Cu (0.000, 0.000, 0.000)
Si (0.750, 0.750, 0.750)
Si (0.250, 0.250, 0.250)

---

# 3
An optimized crystal structure of CuSi2Br. Source: Alexandria via LeMat-Bulk, functional PBE.

Energy relative to the elements, uncorrected (meV per atom): 180
Energy above the lowest structure with this stoichiometry (meV per atom): 31
Theoretical density (g/cm³): 3.90
Density of states at the Fermi level (states/eV/cell): 2.04
Crystal system: monoclinic

Cell: 3.486 3.515 7.360 Å, 109.37 90.00 90.00°
Positions (direct):
Cu (0.500, 0.690, 0.803)
Si (0.000, 0.873, 0.061)
Si (0.500, 0.386, 0.074)
Br (0.000, 0.552, 0.562)

---

# 4
An optimized crystal structure of CuSi4Br. Source: Alexandria via LeMat-Bulk, functional PBE.

Energy relative to the elements, uncorrected (meV per atom): 667
Theoretical density (g/cm³): 4.15
Density of states at the Fermi level (states/eV/cell): 3.99
Crystal system: cubic

Cell: 5.249 5.249 5.249 Å, 60.00 60.00 60.00°
Positions (direct):
Si (0.375, 0.375, 0.375)
Si (0.375, 0.875, 0.375)
Si (0.875, 0.375, 0.375)
Si (0.375, 0.375, 0.875)
Cu (0.000, 0.000, 0.000)
Br (0.750, 0.750, 0.750)

---

# 5
An optimized crystal structure of CuSi2Br. Source: Alexandria via LeMat-Bulk, functional PBE.

Energy relative to the elements, uncorrected (meV per atom): 466
Energy above the lowest structure with this stoichiometry (meV per atom): 317
Theoretical density (g/cm³): 3.51
Density of states at the Fermi level (states/eV/cell): 0.00
Crystal system: tetragonal

Cell: 5.730 5.730 7.032 Å, 65.96 65.96 90.00°
Positions (direct):
Si (0.533, 0.125, 0.250)
Si (0.375, 0.467, 0.750)
Si (0.875, 0.783, 0.750)
Si (0.217, 0.625, 0.250)
Br (0.000, 0.000, 0.000)
Br (0.750, 0.250, 0.500)
Cu (0.250, 0.750, 0.500)
Cu (0.500, 0.500, 0.000)

---

# 6
An optimized crystal structure of CuSi3Br. Source: Alexandria via LeMat-Bulk, functional PBE.

Energy relative to the elements, uncorrected (meV per atom): 748
Energy above the lowest structure with this stoichiometry (meV per atom): 0
Theoretical density (g/cm³): 3.75
Density of states at the Fermi level (states/eV/cell): 4.70
Crystal system: cubic

Cell: 4.653 4.653 4.653 Å, 90.00 90.00 90.00°
Positions (direct):
Si (0.000, 0.500, 0.000)
Si (0.500, 0.000, 0.000)
Si (0.000, 0.000, 0.500)
Cu (0.000, 0.000, 0.000)
Br (0.500, 0.500, 0.500)

---

# 7
An optimized crystal structure of CuSiBr. Source: Alexandria via LeMat-Bulk, functional PBE.

Energy relative to the elements, uncorrected (meV per atom): 260
Energy above the lowest structure with this stoichiometry (meV per atom): 191
Theoretical density (g/cm³): 4.93
Density of states at the Fermi level (states/eV/cell): 0.90
Crystal system: trigonal

Cell: 3.588 3.588 5.179 Å, 90.00 90.00 120.00°
Positions (direct):
Cu (0.333, 0.667, 0.370)
Si (0.667, 0.333, 0.603)
Br (0.000, 0.000, 0.027)

---

# 8
An optimized crystal structure of CuSi2Br. Source: Alexandria via LeMat-Bulk, functional PBE.

Energy relative to the elements, uncorrected (meV per atom): 530
Energy above the lowest structure with this stoichiometry (meV per atom): 381
Theoretical density (g/cm³): 4.72
Density of states at the Fermi level (states/eV/cell): 2.12
Crystal system: tetragonal

Cell: 3.146 3.147 7.098 Å, 90.00 90.00 90.00°
Positions (direct):
Cu (0.500, 0.500, 0.750)
Si (0.000, 0.000, 0.948)
Si (0.000, 0.000, 0.552)
Br (0.500, 0.500, 0.250)

---

# 9
An optimized crystal structure of CuSi2Br. Source: Alexandria via LeMat-Bulk, functional PBE.

Energy relative to the elements, uncorrected (meV per atom): 743
Energy above the lowest structure with this stoichiometry (meV per atom): 594
Theoretical density (g/cm³): 4.75
Density of states at the Fermi level (states/eV/cell): 2.96
Crystal system: tetragonal

Cell: 4.898 4.898 2.910 Å, 90.00 90.00 90.00°
Positions (direct):
Cu (0.000, 0.500, 0.500)
Br (0.500, 0.000, 0.500)
Si (0.000, 0.000, 0.000)
Si (0.500, 0.500, 0.000)

---

# 10
An optimized crystal structure of CuSiBr. Source: Alexandria via LeMat-Bulk, functional PBE.

Energy relative to the elements, uncorrected (meV per atom): 689
Energy above the lowest structure with this stoichiometry (meV per atom): 620
Theoretical density (g/cm³): 4.53
Density of states at the Fermi level (states/eV/cell): 1.98
Crystal system: cubic

Cell: 4.462 4.462 4.462 Å, 60.00 60.00 60.00°
Positions (direct):
Cu (0.750, 0.750, 0.750)
Br (0.500, 0.500, 0.500)
Si (0.000, 0.000, 0.000)